Density functional theory data (GGA-PBE) for crystalline Tb3Sm2Ho9 at its relaxed geometry. Values from VASP.

Properties
Calculated volume (Å³/cell): 446.1
E_tot (eV per atom): -4.528
Formation energy (eV/atom): 0.082

Structure (Quantum ESPRESSO input):
```
&SYSTEM
  ibrav = 0, nat = 14, ntyp = 3
/
ATOMIC_SPECIES
Ho 164.93 Ho.upf
Tb 158.93 Tb.upf
Sm 150.36 Sm.upf
CELL_PARAMETERS angstrom
5.877 0.180 2.571
2.744 7.529 6.422
2.704 3.261 13.607
ATOMIC_POSITIONS crystal
Ho 0.949 0.928 0.448
Ho 0.586 0.999 0.291
Ho 0.730 0.953 0.885
Ho 0.071 0.088 0.533
Ho 0.273 0.079 0.097
Ho 0.848 0.553 0.897
Ho 0.988 0.510 0.487
Ho 0.427 0.017 0.690
Ho 0.147 0.478 0.097
Tb 0.510 0.413 0.251
Tb 0.522 0.580 0.744
Tb 0.051 0.911 0.045
Sm 0.281 0.418 0.694
Sm 0.616 0.572 0.341
```